1.
A relaxed structure of LiMg2Os. Source: Alexandria, functional GGA-PBE.

a = 3.0644 Å, b = 4.7117 Å, c = 9.4758 Å
α = 90.00°, β = 90.00°, γ = 90.00°
Closest atoms and distances in Å follow each position.
Sites, in units of the cell vectors:
Li 0.0000 0.0000 0.0000  6 Li 2.81-3.06, 4 Mg 2.94
Li 0.5000 0.5000 0.0000  6 Li 2.81-3.06, 4 Mg 2.94
Mg 0.0000 0.5000 0.2654  2 Os 2.70, 4 Mg 2.81, 2 Li 2.94
Mg 0.0000 0.5000 0.7346  2 Os 2.70, 4 Mg 2.81, 2 Li 2.94
Mg 0.5000 0.0000 0.2654  2 Os 2.70, 4 Mg 2.81, 2 Li 2.94
Mg 0.5000 0.0000 0.7346  2 Os 2.70, 4 Mg 2.81, 2 Li 2.94
Os 0.0000 0.0000 0.5000  4 Mg 2.70, 4 Os 2.81
Os 0.5000 0.5000 0.5000  4 Mg 2.70, 4 Os 2.81

Output
mass density	5.966	g/cm³
space-group type	Cmmm, No. 65
calculated formation energy	70	kJ/mol of formula units
total DFT energy (no corrections)	-3.901	eV per atom

---

2.
A relaxed structure of YInIr2. Source: Alexandria, functional GGA-PBE.

a = 4.4763 Å, b = 4.4763 Å, c = 3.6838 Å
α = 90.00°, β = 90.00°, γ = 90.00°
Closest atoms and distances in Å follow each position.
Sites, in units of the cell vectors:
Y 0.0000 0.0000 0.0000  8 Ir 2.90, 4 In 3.17
In 0.5000 0.5000 0.0000  8 Ir 2.90, 4 Y 3.17
Ir 0.0000 0.5000 0.5000  4 In 2.90, 4 Y 2.90, 4 Ir 3.17
Ir 0.5000 0.0000 0.5000  4 In 2.90, 4 Y 2.90, 4 Ir 3.17

Output
mass density	13.231	g/cm³
space-group type	P4/mmm, No. 123
calculated formation energy	-196	kJ/mol of formula units
total DFT energy (no corrections)	-7.238	eV per atom

---

3.
A relaxed structure of Zn2WCl. Source: Alexandria, functional GGA-PBE.

a = 2.8763 Å, b = 4.4559 Å, c = 13.1428 Å
α = 90.00°, β = 90.00°, γ = 90.00°
Closest atoms and distances in Å follow each position.
Sites, in units of the cell vectors:
Zn 0.0000 0.0000 0.0000  4 W 2.71, 4 Zn 2.75-2.88
Zn 0.0000 0.5000 0.1233  2 W 2.62, 4 Zn 2.75-2.88
Zn 0.5000 0.0000 0.6233  2 W 2.62, 4 Zn 2.75-2.88
Zn 0.5000 0.5000 0.5000  4 W 2.71, 4 Zn 2.75-2.88
W 0.0000 0.0000 0.4567  2 Cl 2.44, 6 Zn 2.62-2.71
W 0.5000 0.5000 0.9567  2 Cl 2.44, 6 Zn 2.62-2.71
Cl 0.0000 0.5000 0.8071  2 W 2.44
Cl 0.5000 0.0000 0.3071  2 W 2.44

Output
energy relative to the elements, uncorrected	0.96	eV/f.u.
mass density	6.903	g/cm³
space-group type	Imm2, No. 44
energy relative to the lowest polymorph listed for this composition	33	kJ/mol of formula units
total DFT energy (no corrections)	-4.097	eV per atom

---

4.
A relaxed structure of LiSF4. Source: Alexandria, functional GGA-PBE.

a = 6.0289 Å, b = 6.0289 Å, c = 5.0736 Å
α = 90.00°, β = 90.00°, γ = 90.00°
Closest atoms and distances in Å follow each position.
Sites, in units of the cell vectors:
Li 0.0000 0.0000 0.0000  4 F 1.92
Li 0.5000 0.5000 0.5000  4 F 1.92
S 0.0000 0.5000 0.2500  4 F 1.81
S 0.5000 0.0000 0.7500  4 F 1.81
F 0.1126 0.2218 0.2356  1 S 1.81, 1 Li 1.92
F 0.2218 0.8874 0.7644  1 S 1.81, 1 Li 1.92
F 0.2782 0.6126 0.2644  1 S 1.81, 1 Li 1.92
F 0.3874 0.2782 0.7356  1 S 1.81, 1 Li 1.92
F 0.6126 0.7218 0.7356  1 S 1.81, 1 Li 1.92
F 0.7218 0.3874 0.2644  1 S 1.81, 1 Li 1.92
F 0.7782 0.1126 0.7644  1 S 1.81, 1 Li 1.92
F 0.8874 0.7782 0.2356  1 S 1.81, 1 Li 1.92

Output
energy relative to the elements, uncorrected	-10.58	eV/f.u.
mass density	2.071	g/cm³
space-group type	I-4, No. 82
total DFT energy (no corrections)	-4.018	eV per atom

---

5.
A relaxed structure of Tb5Hf3P8. Source: Alexandria, functional GGA-PBE.

a = 7.8016 Å, b = 7.8016 Å, c = 7.8016 Å
α = 59.71°, β = 59.71°, γ = 59.71°
Closest atoms and distances in Å follow each position.
Sites, in units of the cell vectors:
Tb 0.0000 0.0000 0.0000  6 P 2.75
Tb 0.0000 0.5000 0.5000  6 P 2.83
Tb 0.5000 0.0000 0.5000  6 P 2.83
Tb 0.5000 0.5000 0.0000  6 P 2.83
Tb 0.5000 0.5000 0.5000  6 P 2.75
Hf 0.0000 0.0000 0.5000  6 P 2.67-2.68
Hf 0.0000 0.5000 0.0000  6 P 2.67-2.68
Hf 0.5000 0.0000 0.0000  6 P 2.67-2.68
P 0.2356 0.7500 0.7500  2 Hf 2.67, 4 Tb 2.75-2.83
P 0.2433 0.2433 0.2433  3 Hf 2.68, 3 Tb 2.83
P 0.2500 0.2500 0.7644  2 Hf 2.67, 4 Tb 2.75-2.83
P 0.2500 0.7644 0.2500  2 Hf 2.67, 4 Tb 2.75-2.83
P 0.7500 0.2356 0.7500  2 Hf 2.67, 4 Tb 2.75-2.83
P 0.7500 0.7500 0.2356  2 Hf 2.67, 4 Tb 2.75-2.83
P 0.7567 0.7567 0.7567  3 Hf 2.68, 3 Tb 2.83
P 0.7644 0.2500 0.2500  2 Hf 2.67, 4 Tb 2.75-2.83

Output
mass density	7.856	g/cm³
space-group type	R-3m, No. 166
calculated formation energy	-2289	kJ/mol of formula units
total DFT energy (no corrections)	-7.501	eV per atom

---

6.
A relaxed structure of PrHg5Pd7. Source: Alexandria, functional GGA-PBE.

a = 7.2009 Å, b = 7.2009 Å, c = 7.2009 Å
α = 131.67°, β = 98.39°, γ = 100.91°
Closest atoms and distances in Å follow each position.
Sites, in units of the cell vectors:
Pr 0.0000 0.0000 0.0000  6 Pd 3.11-3.43
Hg 0.4808 0.4905 0.4943  7 Pd 2.73-2.94, 3 Hg 2.88-2.97
Hg 0.4808 0.9864 0.9903  7 Pd 2.73-2.94, 3 Hg 2.88-2.97
Hg 0.7865 0.2865 0.5000  4 Pd 2.85-3.08, 4 Hg 2.88
Hg 0.9962 0.4905 0.0097  7 Pd 2.73-2.94, 3 Hg 2.88-2.97
Hg 0.9962 0.9864 0.5057  7 Pd 2.73-2.94, 3 Hg 2.88-2.97
Pd 0.1920 0.6920 0.5000  4 Hg 2.74, 2 Pd 2.86
Pd 0.2179 0.4879 0.7300  5 Hg 2.73-2.85, 3 Pd 2.86-2.96
Pd 0.3375 0.9896 0.3479  5 Hg 2.86-3.08, 4 Pd 2.86-3.15
Pd 0.3388 0.3388 0.0000  4 Hg 2.87, 3 Pd 2.88-2.89, 1 Pr 3.11
Pd 0.6417 0.9896 0.6521  5 Hg 2.86-3.08, 4 Pd 2.86-3.15
Pd 0.6528 0.6528 0.0000  3 Pd 2.88-2.96, 6 Hg 2.94-3.19, 1 Pr 3.18
Pd 0.7579 0.4879 0.2700  5 Hg 2.73-2.85, 3 Pd 2.86-2.96

Output
mass density	12.329	g/cm³
space-group type	Imm2, No. 44
calculated formation energy	-244	kJ/mol of formula units
total DFT energy (no corrections)	-3.474	eV per atom

---

7.
A relaxed structure of Cs3Ac3TiTe8. Source: Alexandria, functional GGA-PBE.

a = 10.6689 Å, b = 10.6689 Å, c = 10.6689 Å
α = 52.27°, β = 52.27°, γ = 52.27°
Closest atoms and distances in Å follow each position.
Sites, in units of the cell vectors:
Cs 0.0000 0.5000 0.5000  6 Te 3.82-3.89
Cs 0.5000 0.0000 0.5000  6 Te 3.82-3.89
Cs 0.5000 0.5000 0.0000  6 Te 3.82-3.89
Ac 0.0000 0.0000 0.5000  6 Te 3.31-3.35
Ac 0.0000 0.5000 0.0000  6 Te 3.31-3.35
Ac 0.5000 0.0000 0.0000  6 Te 3.31-3.35
Ti 0.5000 0.5000 0.5000  6 Te 2.89
Te 0.2355 0.2355 0.2355  3 Ac 3.31
Te 0.2702 0.7055 0.7055  1 Ti 2.89
Te 0.2945 0.2945 0.7298  1 Ti 2.89
Te 0.2945 0.7298 0.2945  1 Ti 2.89
Te 0.7055 0.2702 0.7055  1 Ti 2.89
Te 0.7055 0.7055 0.2702  1 Ti 2.89
Te 0.7298 0.2945 0.2945  1 Ti 2.89
Te 0.7645 0.7645 0.7645  3 Ac 3.31

Output
energy relative to the elements, uncorrected	-18.99	eV/f.u.
mass density	5.076	g/cm³
space-group type	R-3m, No. 166
total DFT energy (no corrections)	-4.460	eV per atom

---

8.
A relaxed structure of TiAgCl4. Source: Alexandria, functional GGA-PBE.

a = 6.3763 Å, b = 3.5639 Å, c = 7.1876 Å
α = 90.00°, β = 91.00°, γ = 90.00°
Closest atoms and distances in Å follow each position.
Sites, in units of the cell vectors:
Ti 0.0000 0.0000 0.0000  6 Cl 2.40-2.47
Ag 0.0000 0.5000 0.5000  4 Cl 2.67
Cl 0.1968 0.0000 0.7179  1 Ti 2.40, 2 Ag 2.67
Cl 0.2307 0.5000 0.1262  2 Ti 2.47
Cl 0.7693 0.5000 0.8738  2 Ti 2.47
Cl 0.8032 0.0000 0.2821  1 Ti 2.40, 2 Ag 2.67

Output
energy relative to the elements, uncorrected	-7.02	eV/f.u.
mass density	3.025	g/cm³
space-group type	P2/m, No. 10
total DFT energy (no corrections)	-4.193	eV per atom

---

9.
A relaxed structure of ZnCu. Source: Alexandria, functional GGA-PBE.

a = 2.7325 Å, b = 2.7325 Å, c = 3.4995 Å
α = 90.00°, β = 90.00°, γ = 90.00°
Closest atoms and distances in Å follow each position.
Sites, in units of the cell vectors:
Zn 0.0000 0.0000 0.0000  8 Cu 2.61, 4 Zn 2.73
Cu 0.5000 0.5000 0.5000  8 Zn 2.61, 4 Cu 2.73

Output
mass density	8.195	g/cm³
space-group type	P4/mmm, No. 123
calculated formation energy	-16	kJ/mol of formula units
total DFT energy (no corrections)	-2.766	eV per atom

---

10.
A relaxed structure of SnSbW2C. Source: Alexandria, functional GGA-PBE.

a = 4.9858 Å, b = 4.9858 Å, c = 5.6279 Å
α = 90.00°, β = 90.00°, γ = 90.00°
Closest atoms and distances in Å follow each position.
Sites, in units of the cell vectors:
Sn 0.0000 0.0000 0.0000  2 Sb 2.81
Sb 0.0000 0.0000 0.5000  4 W 2.49
W 0.0000 0.5000 0.5000  2 Sb 2.49
W 0.5000 0.0000 0.5000  2 Sb 2.49
C 0.5000 0.5000 0.0000  4 Sn 3.53, 8 W 3.76

Output
energy relative to the elements, uncorrected	17.55	eV/f.u.
mass density	7.361	g/cm³
space-group type	P4/mmm, No. 123
total DFT energy (no corrections)	-5.140	eV per atom

---

11.
A relaxed structure of RbCoS2Cl. Source: Alexandria, functional GGA-PBE.

a = 4.4659 Å, b = 4.4659 Å, c = 5.7988 Å
α = 90.00°, β = 90.00°, γ = 90.00°
Closest atoms and distances in Å follow each position.
Sites, in units of the cell vectors:
Rb 0.0000 0.0000 0.0000  4 Cl 3.16
Co 0.5000 0.5000 0.5000  4 S 2.23
S 0.0000 0.5000 0.5000  2 Co 2.23
S 0.5000 0.0000 0.5000  2 Co 2.23
Cl 0.5000 0.5000 0.0000  2 Co 2.90, 4 Rb 3.16

Output
energy relative to the elements, uncorrected	-2.37	eV/f.u.
mass density	3.503	g/cm³
space-group type	P4/mmm, No. 123
energy relative to the lowest polymorph listed for this composition	0	kJ/mol of formula units
total DFT energy (no corrections)	-4.110	eV per atom

---

12.
A relaxed structure of Tl3Hg3H8. Source: Alexandria, functional GGA-PBE.

a = 8.0284 Å, b = 8.0284 Å, c = 5.9677 Å
α = 111.79°, β = 111.79°, γ = 111.67°
Closest atoms and distances in Å follow each position.
Sites, in units of the cell vectors:
Tl 0.0000 0.0000 0.0000  4 H 2.45
Tl 0.2380 0.7620 0.0000  4 H 2.52-2.76
Tl 0.7620 0.2380 0.0000  4 H 2.52-2.76
Hg 0.2342 0.2342 0.7341  2 H 1.68
Hg 0.5000 0.5000 0.5000  4 H 1.87
Hg 0.7658 0.7658 0.2659  2 H 1.68
H 0.1121 0.3655 0.7386  1 Hg 1.68
H 0.2049 0.4046 0.3045  1 Hg 1.87
H 0.3655 0.1121 0.7386  1 Hg 1.68
H 0.4046 0.2049 0.3045  1 Hg 1.87
H 0.5954 0.7951 0.6955  1 Hg 1.87
H 0.6345 0.8879 0.2614  1 Hg 1.68
H 0.7951 0.5954 0.6955  1 Hg 1.87
H 0.8879 0.6345 0.2614  1 Hg 1.68

Output
mass density	7.570	g/cm³
space-group type	C2/m, No. 12
total DFT energy (no corrections)	-2.064	eV per atom